Entry 1:
# TbGaNi3, optimized geometry, DFT GGA-PBE
# ΔH_f (0 K) (meV per atom): -340
data_TbGaNi3
_cell_length_a 4.974
_cell_length_b 6.781
_cell_length_c 9.108
_cell_angle_alpha 90.00
_cell_angle_beta 90.00
_cell_angle_gamma 90.00
_space_group_name_H-M_alt 'I m m a'
_space_group_IT_number 74
_space_group_name_Hall '-I 2b 2'
loop_
_atom_site_label
_atom_site_type_symbol
_atom_site_fract_x
_atom_site_fract_y
_atom_site_fract_z
Tb1 Tb 0.000 0.000 0.000
Ga1 Ga 0.000 0.250 0.470
Ni1 Ni 0.000 0.064 0.691
Ni2 Ni 0.250 0.250 0.250

Entry 2:
# Tb12GaNi6, optimized geometry, DFT GGA-PBE
# ΔH_f (0 K) (meV per atom): -217
data_Tb12GaNi6
_cell_length_a 13.6972
_cell_length_b 13.6972
_cell_length_c 8.7475
_cell_angle_alpha 90.00
_cell_angle_beta 90.00
_cell_angle_gamma 120.00
_space_group_name_H-M_alt 'R -3'
_space_group_IT_number 148
_space_group_name_Hall '-R 3'
loop_
_atom_site_label
_atom_site_type_symbol
_atom_site_fract_x
_atom_site_fract_y
_atom_site_fract_z
Tb1 Tb 0.0381 0.2524 0.4291
Tb2 Tb 0.0600 0.1803 0.8309
Ga1 Ga 0.0000 0.0000 0.5000
Ni1 Ni 0.0713 0.5009 0.7854

Entry 3:
# Tb2Ga5Ni5, optimized geometry, DFT GGA-PBE
# ΔH_f (0 K) (meV per atom): -512
data_Tb2Ga5Ni5
_cell_length_a 3.883
_cell_length_b 5.204
_cell_length_c 9.284
_cell_angle_alpha 90.00
_cell_angle_beta 90.00
_cell_angle_gamma 90.00
_space_group_name_H-M_alt 'P m m m'
_space_group_IT_number 47
loop_
_space_group_symop_operation_xyz
'x,y,z'
'-x,-y,-z'
'-x,-y,z'
'x,y,-z'
'x,-y,-z'
'-x,y,z'
'-x,y,-z'
'x,-y,z'
loop_
_atom_site_label
_atom_site_type_symbol
_atom_site_fract_x
_atom_site_fract_y
_atom_site_fract_z
Tb1 Tb 0.000 0.000 0.000
Tb2 Tb 0.000 0.500 0.500
Ga1 Ga 0.000 0.000 0.314
Ga2 Ga 0.000 0.500 0.167
Ga3 Ga 0.500 0.000 0.500
Ni1 Ni 0.500 0.256 0.254
Ni2 Ni 0.500 0.500 0.000

Entry 4:
# Tb2Ga3Ni5, optimized geometry, DFT GGA-PBE
# ΔH_f (0 K) (meV per atom): -492
data_Tb2Ga3Ni5
_cell_length_a 9.915
_cell_length_b 11.548
_cell_length_c 5.578
_cell_angle_alpha 90.00
_cell_angle_beta 90.00
_cell_angle_gamma 90.00
_space_group_name_H-M_alt 'I b a m'
_space_group_IT_number 72
_space_group_name_Hall '-I 2 2c'
loop_
_atom_site_label
_atom_site_type_symbol
_atom_site_fract_x
_atom_site_fract_y
_atom_site_fract_z
Tb1 Tb 0.234 0.130 0.000
Ga1 Ga 0.000 0.500 0.250
Ga2 Ga 0.103 0.141 0.500
Ni1 Ni 0.000 0.000 0.250
Ni2 Ni 0.000 0.285 0.250
Ni3 Ni 0.161 0.389 0.000

Entry 5:
# Tb4Ga12Ni, optimized geometry, DFT GGA-PBE
# ΔH_f (0 K) (meV per atom): -580
data_Tb4Ga12Ni
_cell_length_a 8.600
_cell_length_b 8.600
_cell_length_c 8.600
_cell_angle_alpha 90.00
_cell_angle_beta 90.00
_cell_angle_gamma 90.00
_space_group_name_H-M_alt 'I m -3 m'
_space_group_IT_number 229
_space_group_name_Hall '-I 4 2 3'
loop_
_atom_site_label
_atom_site_type_symbol
_atom_site_fract_x
_atom_site_fract_y
_atom_site_fract_z
Tb1 Tb 0.250 0.250 0.250
Ga1 Ga 0.000 0.000 0.287
Ga2 Ga 0.000 0.250 0.500
Ni1 Ni 0.000 0.000 0.000

Entry 6:
# Tb3Ga4Ni4, optimized geometry, DFT GGA-PBE
# ΔH_f (0 K) (meV per atom): -569
data_Tb3Ga4Ni4
_cell_length_a 3.752
_cell_length_b 4.196
_cell_length_c 25.027
_cell_angle_alpha 90.00
_cell_angle_beta 90.00
_cell_angle_gamma 90.00
_space_group_name_H-M_alt 'I m m m'
_space_group_IT_number 71
_space_group_name_Hall '-I 2 2'
loop_
_atom_site_label
_atom_site_type_symbol
_atom_site_fract_x
_atom_site_fract_y
_atom_site_fract_z
Tb1 Tb 0.000 0.000 0.000
Tb2 Tb 0.000 0.500 0.148
Ga1 Ga 0.000 0.000 0.448
Ga2 Ga 0.000 0.500 0.305
Ni1 Ni 0.000 0.000 0.254
Ni2 Ni 0.000 0.500 0.402

Number 1: DFT total energy -106.811 eV per cell, total moment 0.00 μB/f.u.. Number 2: DFT total energy -292.183 eV per cell, total moment 0.00 μB/f.u.. Number 3: DFT total energy -59.440 eV per cell, total moment 0.00 μB/f.u.. Number 4: DFT total energy -208.652 eV per cell, total moment 0.00 μB/f.u.. Number 5: DFT total energy -140.967 eV per cell, total moment 0.00 μB/f.u.. Number 6: DFT total energy -110.776 eV per cell, total moment 0.00 μB/f.u..